Record 1
Here is Al2AgTe4 after structural relaxation from the Alexandria database. Energies are from GGA-PBE.

a = 5.7974 Å, b = 5.7974 Å, c = 6.7828 Å
α = 90.00°, β = 90.00°, γ = 90.00°
With the nearest neighbours (Å) after each atom.
Element x y z (fractional)
Al1 0.0000 0.5000 0.0000  4 Te 2.65
Al2 0.5000 0.0000 0.0000  4 Te 2.65
Ag1 0.0000 0.0000 0.5000  4 Te 2.81
Te1 0.2707 0.2707 0.7532  2 Al 2.65, 1 Ag 2.81
Te2 0.2707 0.7293 0.2468  2 Al 2.65, 1 Ag 2.81
Te3 0.7293 0.2707 0.2468  2 Al 2.65, 1 Ag 2.81
Te4 0.7293 0.7293 0.7532  2 Al 2.65, 1 Ag 2.81

Results
* crystal system: tetragonal
* DOS at the Fermi energy: 3.91 states/eV/f.u.
* final energy: -3.587 eV per atom
* volume: 228.0 Å³/cell
* ρ: 4.9 g cm⁻³

=====

Record 2
Here is AlAgTe2 after structural relaxation from the Alexandria database. Energies are from GGA-PBE.

a = 5.1759 Å, b = 5.1759 Å, c = 5.1759 Å
α = 60.00°, β = 60.00°, γ = 60.00°
With the nearest neighbours (Å) after each atom.
Element x y z (fractional)
Al1 0.0000 0.0000 0.0000  4 Te 3.17, 4 Ag 3.17
Ag1 0.7500 0.7500 0.7500  4 Te 3.17, 4 Al 3.17
Te1 0.2500 0.2500 0.2500  4 Te 3.17, 4 Al 3.17
Te2 0.5000 0.5000 0.5000  4 Te 3.17, 4 Ag 3.17

Results
* crystal system: cubic
* DOS at the Fermi energy: 2.62 states/eV/f.u.
* final energy: -2.889 eV per atom
* volume: 98.0 Å³/cell
* ρ: 6.6 g cm⁻³

=====

What is the final energy in the first record?
-3.587 eV per atom